Computed, not measured: an optimized crystal structure of Ag2HgAu at the GGA-PBE level of DFT.

Structure (extended XYZ):
```
8
Lattice="-4.338 6.347 -0.611 -2.900 -2.623 -6.647 -5.688 0.583 -2.222" Properties=species:S:1:pos:R:3 pbc="T T T"
Au -3.619 1.862 -3.629
Au -6.104 -0.089 -6.250
Hg 0.000 0.000 0.000
Hg -6.823 4.396 -3.231
Ag -4.463 3.737 -1.764
Ag -3.810 -0.652 -4.791
Ag -7.003 1.814 -4.439
Ag -10.578 3.716 -7.968
```

## Properties
E_form (eV/atom): 0.174
Symmetry: No. 122